Version P
# Pm5GaPb2

Pm5GaPb2 after structural relaxation (GGA-PBE, Alexandria).

abc: 8.3477 8.3477 14.0483
angles: 90.00 90.00 90.00
Space group I4/mcm (No. 140)
One atom of each set of equivalent atoms:
Pm 0.0000 0.0000 0.0000 [4 per cell]
Pm 0.1653 0.3347 0.1543 [16 per cell]
Ga 0.0000 0.0000 0.2500 [4 per cell]
Pb 0.1368 0.3632 0.5000 [8 per cell]


Version Q
# Pm5GaPb2

Pm5GaPb2 after structural relaxation (GGA-PBE, Alexandria).

abc: 8.1916 12.6170 4.8064
angles: 90.00 90.00 90.00
Space group Pbam (No. 55)
One atom of each set of equivalent atoms:
Pm 0.0000 0.0000 0.0000 [2 per cell]
Pm 0.1529 0.2843 0.0000 [4 per cell]
Pm 0.1908 0.5669 0.5000 [4 per cell]
Ga 0.0000 0.5000 0.0000 [2 per cell]
Pb 0.0771 0.8286 0.5000 [4 per cell]


It is version P that is the least stable of them.


Version P
# PrGa2Pb

PrGa2Pb after structural relaxation (GGA-PBE, Alexandria).

abc: 7.4267 7.4267 7.4267
angles: 90.00 90.00 90.00
Space group Fm-3m (No. 225)
One atom of each set of equivalent atoms:
Pr 0.0000 0.0000 0.0000 [4 per cell]
Ga 0.2500 0.2500 0.2500 [8 per cell]
Pb 0.0000 0.0000 0.5000 [4 per cell]


Version Q
# PrGa2Pb

PrGa2Pb after structural relaxation (GGA-PBE, Alexandria).

abc: 4.6576 4.6576 4.4846
angles: 90.00 90.00 90.00
Space group P4/mmm (No. 123)
One atom of each set of equivalent atoms:
Pr 0.0000 0.0000 0.0000 [1 per cell]
Ga 0.0000 0.5000 0.5000 [2 per cell]
Pb 0.5000 0.5000 0.0000 [1 per cell]


It is version P that is the least stable of them.